No. 1
## LiPu2Br4 (PBE)

Data for an optimized crystal structure of LiPu2Br4. Values from VASP.

```
&SYSTEM
  ibrav = 0, nat = 7, ntyp = 3
/
ATOMIC_SPECIES
Br 79.90 Br.upf
Li 6.94 Li.upf
Pu 244.00 Pu.upf
ATOMIC_POSITIONS crystal
Br 0.090 0.750 0.179
Li 0.000 0.000 0.000
Br 0.633 0.249 0.266
Br 0.367 0.751 0.734
Pu 0.764 0.912 0.527
Pu 0.236 0.088 0.473
Br 0.910 0.250 0.821
CELL_PARAMETERS angstrom
-1.329 -3.004 1.368
-2.006 -2.343 -7.095
7.824 -0.948 0.891
```

Computed properties:
calculated total energy: -6.278 eV per atom
formation energy without anion corrections: -0.954 eV per atom
crystal system: monoclinic

No. 2
## LiPuBr6 (PBE)

Data for an optimized crystal structure of LiPuBr6. Values from VASP.

```
&SYSTEM
  ibrav = 0, nat = 8, ntyp = 3
/
ATOMIC_SPECIES
Br 79.90 Br.upf
Li 6.94 Li.upf
Pu 244.00 Pu.upf
ATOMIC_POSITIONS crystal
Br 0.098 0.392 0.750
Br 0.608 0.240 0.250
Li 0.500 0.500 0.500
Br 0.902 0.608 0.250
Br 0.240 0.902 0.250
Br 0.760 0.098 0.750
Br 0.392 0.760 0.750
Pu 0.000 0.000 0.000
CELL_PARAMETERS angstrom
-3.418 5.040 -3.400
-6.827 -0.654 -1.259
-4.690 4.274 3.898
```

Computed properties:
offset from the most stable computed form: 16 meV/atom
calculated total energy: -4.418 eV per atom
formation energy without anion corrections: -1.132 eV per atom
crystal system: trigonal

No. 3
## LiPu5Br12 (PBE)

Data for an optimized crystal structure of LiPu5Br12. Values from VASP.

```
&SYSTEM
  ibrav = 0, nat = 18, ntyp = 3
/
ATOMIC_SPECIES
Br 79.90 Br.upf
Pu 244.00 Pu.upf
Li 6.94 Li.upf
ATOMIC_POSITIONS crystal
Br 0.679 0.000 0.888
Br 0.500 0.333 0.620
Br 0.000 0.679 0.112
Br 0.321 0.000 0.112
Br 0.167 0.000 0.620
Br 0.000 0.321 0.888
Pu 0.500 0.000 0.500
Pu 0.167 0.667 0.500
Pu 0.833 0.333 0.500
Pu 0.667 0.667 0.000
Li 0.000 0.000 0.000
Br 0.321 0.679 0.888
Br 0.833 0.000 0.380
Pu 0.333 0.333 0.000
Br 0.167 0.333 0.380
Br 0.679 0.321 0.112
Br 0.833 0.667 0.620
Br 0.500 0.667 0.380
CELL_PARAMETERS angstrom
7.282 0.000 0.001
3.641 6.317 0.000
-0.005 0.000 14.208
```

Computed properties:
calculated total energy: -6.692 eV per atom
formation energy without anion corrections: -1.489 eV per atom
crystal system: monoclinic

No. 4
## Li2PuBr5 (PBE)

Data for an optimized crystal structure of Li2PuBr5. Values from VASP.

```
&SYSTEM
  ibrav = 0, nat = 16, ntyp = 3
/
ATOMIC_SPECIES
Li 6.94 Li.upf
Br 79.90 Br.upf
Pu 244.00 Pu.upf
ATOMIC_POSITIONS crystal
Li 0.149 0.298 0.969
Br 0.961 0.922 0.881
Br 0.039 0.078 0.119
Br 0.682 0.364 0.575
Pu 0.197 0.395 0.250
Br 0.961 0.922 0.619
Br 0.318 0.636 0.075
Li 0.851 0.702 0.031
Br 0.318 0.636 0.425
Br 0.242 0.483 0.750
Li 0.851 0.702 0.469
Br 0.682 0.364 0.925
Li 0.149 0.298 0.531
Br 0.039 0.078 0.381
Pu 0.803 0.605 0.750
Br 0.758 0.517 0.250
CELL_PARAMETERS angstrom
5.512 0.000 0.000
-2.756 6.650 0.000
0.000 0.000 14.190
```

Computed properties:
calculated total energy: -4.786 eV per atom
formation energy without anion corrections: -1.470 eV per atom
crystal system: orthorhombic

No. 5
## LiPu3Br6 (PBE)

Data for an optimized crystal structure of LiPu3Br6. Values from VASP.

```
&SYSTEM
  ibrav = 0, nat = 20, ntyp = 3
/
ATOMIC_SPECIES
Br 79.90 Br.upf
Pu 244.00 Pu.upf
Li 6.94 Li.upf
ATOMIC_POSITIONS crystal
Br 0.079 0.306 0.891
Br 0.306 0.891 0.079
Br 0.921 0.694 0.109
Br 0.196 0.568 0.447
Pu 0.889 0.773 0.522
Li 0.000 0.000 0.000
Pu 0.522 0.889 0.773
Li 0.500 0.500 0.500
Pu 0.111 0.227 0.478
Pu 0.478 0.111 0.227
Br 0.804 0.432 0.553
Br 0.553 0.804 0.432
Pu 0.773 0.522 0.889
Br 0.568 0.447 0.196
Br 0.891 0.079 0.306
Br 0.432 0.553 0.804
Pu 0.227 0.478 0.111
Br 0.447 0.196 0.568
Br 0.694 0.109 0.921
Br 0.109 0.921 0.694
CELL_PARAMETERS angstrom
8.480 0.613 0.626
0.428 8.491 0.626
0.428 0.438 8.503
```

Computed properties:
calculated total energy: -6.746 eV per atom
formation energy without anion corrections: -1.252 eV per atom
crystal system: trigonal

No. 6
## Li2PuBr4 (PBE)

Data for an optimized crystal structure of Li2PuBr4. Values from VASP.

```
&SYSTEM
  ibrav = 0, nat = 28, ntyp = 3
/
ATOMIC_SPECIES
Li 6.94 Li.upf
Br 79.90 Br.upf
Pu 244.00 Pu.upf
ATOMIC_POSITIONS crystal
Li 0.740 0.260 0.625
Br 0.496 0.262 0.761
Br 0.262 0.504 0.511
Br 0.738 0.504 0.489
Br 0.007 0.262 0.741
Li 0.283 0.500 0.750
Li 0.500 0.283 0.000
Br 0.504 0.262 0.239
Li 0.260 0.260 0.375
Br 0.993 0.738 0.241
Br 0.738 0.007 0.991
Br 0.738 0.993 0.509
Br 0.496 0.738 0.739
Br 0.738 0.496 0.011
Li 0.260 0.740 0.125
Li 0.740 0.740 0.875
Br 0.262 0.496 0.989
Br 0.504 0.738 0.261
Br 0.262 0.007 0.009
Pu 0.749 0.000 0.250
Pu 0.000 0.251 0.000
Br 0.993 0.262 0.259
Br 0.262 0.993 0.491
Li 0.500 0.717 0.500
Br 0.007 0.738 0.759
Pu 0.000 0.749 0.500
Pu 0.251 0.000 0.750
Li 0.717 0.500 0.250
CELL_PARAMETERS angstrom
8.359 0.000 0.000
0.000 8.359 0.000
0.000 0.000 11.522
```

Computed properties:
offset from the most stable computed form: 0 meV/atom
calculated total energy: -4.998 eV per atom
formation energy without anion corrections: -1.448 eV per atom
crystal system: tetragonal